# 1
# YMg9Sc2 PBE optimized geometry
data_YMg9Sc2
_chemical_formula_sum 'Y1 Mg9 Sc2'
_cell_length_a 5.9249
_cell_length_b 5.9249
_cell_length_c 10.1456
_cell_angle_alpha 73.02
_cell_angle_beta 73.02
_cell_angle_gamma 60.00
_symmetry_space_group_name_H-M 'P 1'
_symmetry_Int_Tables_number 1
loop_
_symmetry_equiv_pos_as_xyz
'x,y,z'
loop_
_atom_site_label
_atom_site_type_symbol
_atom_site_fract_x
_atom_site_fract_y
_atom_site_fract_z
Y1 Y 0.0000 0.0000 0.0000
Mg1 Mg 0.6658 0.6658 0.0026
Mg2 Mg 0.3342 0.3342 0.9974
Mg3 Mg 0.5000 0.5000 0.5000
Mg4 Mg 0.4105 0.4105 0.2591
Mg5 Mg 0.9199 0.4105 0.2591
Mg6 Mg 0.4105 0.9199 0.2591
Mg7 Mg 0.5895 0.5895 0.7409
Mg8 Mg 0.5895 0.0801 0.7409
Mg9 Mg 0.0801 0.5895 0.7409
Sc1 Sc 0.8545 0.8545 0.4364
Sc2 Sc 0.1455 0.1455 0.5636
# - Energy: -33.339 eV/cell
# - Space group: R-3m (166)

***

# 2
# AcAl4Ga2 PBE optimized geometry
data_AcAl4Ga2
_chemical_formula_sum 'Ac1 Al4 Ga2'
_cell_length_a 4.2753
_cell_length_b 4.5368
_cell_length_c 7.7469
_cell_angle_alpha 107.03
_cell_angle_beta 90.00
_cell_angle_gamma 90.00
_symmetry_space_group_name_H-M 'P 1'
_symmetry_Int_Tables_number 1
loop_
_symmetry_equiv_pos_as_xyz
'x,y,z'
loop_
_atom_site_label
_atom_site_type_symbol
_atom_site_fract_x
_atom_site_fract_y
_atom_site_fract_z
Ac1 Ac 0.0000 0.0000 0.0000
Al1 Al 0.5000 0.8135 0.6270
Al2 Al 0.0000 0.6951 0.3901
Al3 Al 0.5000 0.1865 0.3730
Al4 Al 0.0000 0.3049 0.6099
Ga1 Ga 0.5000 0.5885 0.1769
Ga2 Ga 0.5000 0.4115 0.8231
# - Energy: -26.935 eV/cell
# - Space group: Cmmm (65)

***

# 3
# LaTbPrTm PBE optimized geometry
data_LaTbPrTm
_chemical_formula_sum 'La1 Tb1 Pr1 Tm1'
_cell_length_a 5.7770
_cell_length_b 5.7770
_cell_length_c 5.7770
_cell_angle_alpha 60.00
_cell_angle_beta 60.00
_cell_angle_gamma 60.00
_symmetry_space_group_name_H-M 'P 1'
_symmetry_Int_Tables_number 1
loop_
_symmetry_equiv_pos_as_xyz
'x,y,z'
loop_
_atom_site_label
_atom_site_type_symbol
_atom_site_fract_x
_atom_site_fract_y
_atom_site_fract_z
Pr1 Pr 0.7500 0.7500 0.7500
Tm1 Tm 0.0000 0.0000 0.0000
Tb1 Tb 0.5000 0.5000 0.5000
La1 La 0.2500 0.2500 0.2500
# - Energy: -18.435 eV/cell
# - Space group: F-43m (216)

***

# 4
# CaNd2In3 PBE optimized geometry
data_CaNd2In3
_chemical_formula_sum 'Ca1 Nd2 In3'
_cell_length_a 3.7482
_cell_length_b 3.7482
_cell_length_c 12.3285
_cell_angle_alpha 90.00
_cell_angle_beta 90.00
_cell_angle_gamma 90.00
_symmetry_space_group_name_H-M 'P 1'
_symmetry_Int_Tables_number 1
loop_
_symmetry_equiv_pos_as_xyz
'x,y,z'
loop_
_atom_site_label
_atom_site_type_symbol
_atom_site_fract_x
_atom_site_fract_y
_atom_site_fract_z
Ca1 Ca 0.5000 0.5000 0.5000
Nd1 Nd 0.5000 0.5000 0.8291
Nd2 Nd 0.5000 0.5000 0.1709
In1 In 0.0000 0.0000 0.0000
In2 In 0.0000 0.0000 0.6611
In3 In 0.0000 0.0000 0.3389
# - Energy: -22.636 eV/cell
# - Space group: P4/mmm (123)

***

# 5
# BaGa3Os PBE optimized geometry
data_BaGa3Os
_chemical_formula_sum 'Ba4 Ga12 Os4'
_cell_length_a 24.6834
_cell_length_b 6.7158
_cell_length_c 9.4772
_cell_angle_alpha 90.00
_cell_angle_beta 162.03
_cell_angle_gamma 90.00
_symmetry_space_group_name_H-M 'P 1'
_symmetry_Int_Tables_number 1
loop_
_symmetry_equiv_pos_as_xyz
'x,y,z'
loop_
_atom_site_label
_atom_site_type_symbol
_atom_site_fract_x
_atom_site_fract_y
_atom_site_fract_z
Os1 Os 0.5521 0.7868 0.7353
Os2 Os 0.4479 0.2132 0.2647
Os3 Os 0.9479 0.2868 0.7647
Os4 Os 0.0521 0.7132 0.2353
Ba1 Ba 0.9237 0.2433 0.0940
Ba2 Ba 0.0763 0.7567 0.9060
Ba3 Ba 0.5763 0.7433 0.4060
Ba4 Ba 0.4237 0.2567 0.5940
Ga1 Ga 0.2794 0.9314 0.9510
Ga2 Ga 0.7206 0.0686 0.0490
Ga3 Ga 0.2206 0.4314 0.5490
Ga4 Ga 0.7794 0.5686 0.4510
Ga5 Ga 0.3242 0.5377 0.0592
Ga6 Ga 0.6758 0.4623 0.9408
Ga7 Ga 0.1758 0.0377 0.4408
Ga8 Ga 0.8242 0.9623 0.5592
Ga9 Ga 0.5116 0.7744 0.8947
Ga10 Ga 0.4884 0.2256 0.1053
Ga11 Ga 0.9884 0.2744 0.6053
Ga12 Ga 0.0116 0.7256 0.3947
# - Energy: -92.540 eV/cell
# - Space group: P2_1/c (14)
# - Energy relative to the lowest polymorph listed for this composition: 218 meV/atom

***

# 6
# Li2YAg PBE optimized geometry
data_Li2YAg
_chemical_formula_sum 'Li2 Y1 Ag1'
_cell_length_a 5.5050
_cell_length_b 5.5050
_cell_length_c 5.0812
_cell_angle_alpha 73.01
_cell_angle_beta 73.01
_cell_angle_gamma 36.26
_symmetry_space_group_name_H-M 'P 1'
_symmetry_Int_Tables_number 1
loop_
_symmetry_equiv_pos_as_xyz
'x,y,z'
loop_
_atom_site_label
_atom_site_type_symbol
_atom_site_fract_x
_atom_site_fract_y
_atom_site_fract_z
Y1 Y 0.2500 0.2500 0.2500
Ag1 Ag 0.7500 0.7500 0.7500
Li1 Li 0.0266 0.0266 0.9497
Li2 Li 0.4734 0.4734 0.5503
# - Energy: -13.391 eV/cell
# - Space group: C2/m (12)
# - Energy relative to the lowest polymorph listed for this composition: 34 meV/atom

***

# 7
# Ti4Mn PBE optimized geometry
data_Ti4Mn
_chemical_formula_sum 'Ti24 Mn6'
_cell_length_a 10.3451
_cell_length_b 9.4872
_cell_length_c 9.4872
_cell_angle_alpha 56.42
_cell_angle_beta 45.88
_cell_angle_gamma 45.88
_symmetry_space_group_name_H-M 'P 1'
_symmetry_Int_Tables_number 1
loop_
_symmetry_equiv_pos_as_xyz
'x,y,z'
loop_
_atom_site_label
_atom_site_type_symbol
_atom_site_fract_x
_atom_site_fract_y
_atom_site_fract_z
Ti1 Ti 0.5107 0.6322 0.6048
Ti2 Ti 0.9893 0.3952 0.3678
Ti3 Ti 0.4893 0.3678 0.3952
Ti4 Ti 0.0107 0.6048 0.6322
Ti5 Ti 0.5360 0.7001 0.2229
Ti6 Ti 0.9640 0.7771 0.2999
Ti7 Ti 0.7500 0.7685 0.2315
Ti8 Ti 0.2500 0.2315 0.7685
Ti9 Ti 0.6485 0.5140 0.9680
Ti10 Ti 0.8515 0.0320 0.4860
Ti11 Ti 0.3515 0.4860 0.0320
Ti12 Ti 0.1485 0.9680 0.5140
Ti13 Ti 0.9142 0.2015 0.1107
Ti14 Ti 0.5858 0.8893 0.7985
Ti15 Ti 0.0858 0.7985 0.8893
Ti16 Ti 0.4142 0.1107 0.2015
Ti17 Ti 0.0000 0.5000 0.0000
Ti18 Ti 0.5000 0.0000 0.5000
Ti19 Ti 0.7822 0.9162 0.8689
Ti20 Ti 0.7178 0.1311 0.0838
Ti21 Ti 0.2178 0.0838 0.1311
Ti22 Ti 0.2822 0.8689 0.9162
Ti23 Ti 0.0360 0.2229 0.7001
Ti24 Ti 0.4640 0.2999 0.7771
Mn1 Mn 0.2500 0.7517 0.2483
Mn2 Mn 0.7500 0.2483 0.7517
Mn3 Mn 0.2576 0.6158 0.6268
Mn4 Mn 0.2424 0.3732 0.3842
Mn5 Mn 0.7424 0.3842 0.3732
Mn6 Mn 0.7576 0.6268 0.6158
# - Energy: -243.829 eV/cell
# - Space group: C2/c (15)
# - Energy relative to the lowest polymorph listed for this composition: 0 meV/atom

***

# 8
# Sc4MnCl PBE optimized geometry
data_Sc4MnCl
_chemical_formula_sum 'Sc4 Mn1 Cl1'
_cell_length_a 5.9329
_cell_length_b 5.9329
_cell_length_c 5.9329
_cell_angle_alpha 60.00
_cell_angle_beta 60.00
_cell_angle_gamma 60.00
_symmetry_space_group_name_H-M 'P 1'
_symmetry_Int_Tables_number 1
loop_
_symmetry_equiv_pos_as_xyz
'x,y,z'
loop_
_atom_site_label
_atom_site_type_symbol
_atom_site_fract_x
_atom_site_fract_y
_atom_site_fract_z
Sc1 Sc 0.8828 0.3724 0.3724
Sc2 Sc 0.3724 0.3724 0.8828
Sc3 Sc 0.3724 0.8828 0.3724
Sc4 Sc 0.3724 0.3724 0.3724
Mn1 Mn 0.0000 0.0000 0.0000
Cl1 Cl 0.7500 0.7500 0.7500
# - Energy: -33.267 eV/cell
# - ΔE_f (raw): 0.51 eV per atom
# - Space group: F-43m (216)

***

# 9
# MnBeAs2 PBE optimized geometry
data_MnBeAs2
_chemical_formula_sum 'Mn1 Be1 As2'
_cell_length_a 4.4295
_cell_length_b 4.4295
_cell_length_c 4.4295
_cell_angle_alpha 60.00
_cell_angle_beta 60.00
_cell_angle_gamma 60.00
_symmetry_space_group_name_H-M 'P 1'
_symmetry_Int_Tables_number 1
loop_
_symmetry_equiv_pos_as_xyz
'x,y,z'
loop_
_atom_site_label
_atom_site_type_symbol
_atom_site_fract_x
_atom_site_fract_y
_atom_site_fract_z
Be1 Be 0.5000 0.5000 0.5000
As1 As 0.0000 0.0000 0.0000
As2 As 0.2500 0.2500 0.2500
Mn1 Mn 0.7500 0.7500 0.7500
# - Energy: -19.920 eV/cell
# - Space group: F-43m (216)
# - Energy relative to the lowest polymorph listed for this composition: 603 meV/atom

***

# 10
# MnInAg3 PBE optimized geometry
data_MnInAg3
_chemical_formula_sum 'Mn1 In1 Ag3'
_cell_length_a 5.0321
_cell_length_b 5.0321
_cell_length_c 5.0321
_cell_angle_alpha 90.00
_cell_angle_beta 90.00
_cell_angle_gamma 90.00
_symmetry_space_group_name_H-M 'P 1'
_symmetry_Int_Tables_number 1
loop_
_symmetry_equiv_pos_as_xyz
'x,y,z'
loop_
_atom_site_label
_atom_site_type_symbol
_atom_site_fract_x
_atom_site_fract_y
_atom_site_fract_z
Mn1 Mn 0.0000 0.0000 0.0000
Ag1 Ag 0.0000 0.5000 0.0000
Ag2 Ag 0.0000 0.0000 0.5000
Ag3 Ag 0.5000 0.0000 0.0000
In1 In 0.5000 0.5000 0.5000
# - Energy: -16.735 eV/cell
# - Space group: Pm-3m (221)
# - Energy relative to the lowest polymorph listed for this composition: 0 meV/atom

***

# 11
# BaHo3Fe PBE optimized geometry
data_BaHo3Fe
_chemical_formula_sum 'Ba1 Ho3 Fe1'
_cell_length_a 5.3983
_cell_length_b 5.3983
_cell_length_c 5.3983
_cell_angle_alpha 90.00
_cell_angle_beta 90.00
_cell_angle_gamma 90.00
_symmetry_space_group_name_H-M 'P 1'
_symmetry_Int_Tables_number 1
loop_
_symmetry_equiv_pos_as_xyz
'x,y,z'
loop_
_atom_site_label
_atom_site_type_symbol
_atom_site_fract_x
_atom_site_fract_y
_atom_site_fract_z
Fe1 Fe 0.0000 0.0000 0.0000
Ho1 Ho 0.0000 0.5000 0.0000
Ho2 Ho 0.0000 0.0000 0.5000
Ho3 Ho 0.5000 0.0000 0.0000
Ba1 Ba 0.5000 0.5000 0.5000
# - Energy: -23.546 eV/cell
# - Space group: Pm-3m (221)

***

# 12
# Na2Au2Br7 PBE optimized geometry
data_Na2Au2Br7
_chemical_formula_sum 'Na4 Au4 Br14'
_cell_length_a 7.3795
_cell_length_b 7.8585
_cell_length_c 16.2795
_cell_angle_alpha 90.00
_cell_angle_beta 90.00
_cell_angle_gamma 123.18
_symmetry_space_group_name_H-M 'P 1'
_symmetry_Int_Tables_number 1
loop_
_symmetry_equiv_pos_as_xyz
'x,y,z'
loop_
_atom_site_label
_atom_site_type_symbol
_atom_site_fract_x
_atom_site_fract_y
_atom_site_fract_z
Na1 Na 0.2596 0.7284 0.1319
Na2 Na 0.7404 0.7716 0.6319
Na3 Na 0.7404 0.2716 0.8681
Na4 Na 0.2596 0.2284 0.3681
Au1 Au 0.0150 0.8664 0.9036
Au2 Au 0.9850 0.1336 0.0964
Au3 Au 0.0150 0.3664 0.5964
Au4 Au 0.9850 0.6336 0.4036
Br1 Br 0.0000 0.0000 0.5000
Br2 Br 0.0000 0.5000 0.0000
Br3 Br 0.2790 0.1288 0.0092
Br4 Br 0.7210 0.3712 0.5092
Br5 Br 0.7210 0.8712 0.9908
Br6 Br 0.2790 0.6288 0.4908
Br7 Br 0.3159 0.4246 0.6885
Br8 Br 0.3159 0.9246 0.8115
Br9 Br 0.6841 0.0754 0.1885
Br10 Br 0.6841 0.5754 0.3115
Br11 Br 0.7312 0.1226 0.6969
Br12 Br 0.7312 0.6226 0.8031
Br13 Br 0.2688 0.3774 0.1969
Br14 Br 0.2688 0.8774 0.3031
# - Energy: -54.820 eV/cell
# - ΔE_f (raw): -0.59 eV per atom
# - Space group: P2_1/c (14)
# - Energy relative to the lowest polymorph listed for this composition: 0 meV/atom